No. 1
# Zr3ScFe

Zr3ScFe after structural relaxation (PBE, the Alexandria database).

crystal system	cubic
excess energy over the best structure of this formula in the dataset	236	meV/atom
volume	23.2	Å³ per atom
energy of formation from the pure elements	0.1940	eV per atom

Cell: 4.8742 4.8742 4.8742 Å, 90.00 90.00 90.00°
Last column: nearest neighbours and their distance in Å.
Space group Pm-3m (No. 221)
Inequivalent atoms, fractional coordinates:
Zr  0.0000  0.0000  0.5000 x3  2 Fe 2.44
Sc  0.5000  0.5000  0.5000 x1  12 Zr 3.45
Fe  0.0000  0.0000  0.0000 x1  6 Zr 2.44

No. 2
# Mn2CrSi

Mn2CrSi after structural relaxation (PBE, the Alexandria database).

crystal system	orthorhombic
volume	13.0	Å³ per atom
energy relative to the elements, uncorrected	0.50	eV per atom

Cell: 2.5351 4.1904 9.7576 Å, 90.00 90.00 90.00°
Last column: nearest neighbours and their distance in Å.
Space group Immm (No. 71)
Inequivalent atoms, fractional coordinates:
Mn  0.0000  0.0000  0.2323 x4  1 Si 2.27, 6 Mn 2.47-2.54
Cr  0.0000  0.0000  0.5000 x2  4 Si 2.45, 2 Cr 2.54, 2 Mn 2.61
Si  0.0000  0.0000  0.0000 x2  2 Mn 2.27, 4 Cr 2.45, 2 Si 2.54

No. 3
# Zr2Zn2Cd3

Zr2Zn2Cd3 after structural relaxation (PBE, the Alexandria database).

crystal system	orthorhombic
excess energy over the best structure of this formula in the dataset	0	meV/atom
volume	19.9	Å³ per atom
energy of formation from the pure elements	-0.1422	eV per atom

Cell: 4.3478 20.1411 3.1757 Å, 90.00 90.00 90.00°
Last column: nearest neighbours and their distance in Å.
Space group Cmmm (No. 65)
Inequivalent atoms, fractional coordinates:
Zr  0.0000  0.1634  0.0000 x4  6 Zn 2.89-2.90, 2 Zr 3.18, 4 Cd 3.19
Zn  0.0000  0.2835  0.5000 x4  2 Zn 2.56, 1 Cd 2.79
Cd  0.0000  0.0000  0.0000 x2  10 Cd 3.12-3.18, 2 Zr 3.29
Cd  0.0000  0.4220  0.5000 x4  1 Zn 2.79, 4 Cd 3.12

No. 4
# V2NiMo

V2NiMo after structural relaxation (PBE, the Alexandria database).

crystal system	tetragonal
volume	13.4	Å³ per atom
energy of formation from the pure elements	-0.0809	eV per atom

Cell: 4.1463 4.1463 3.1206 Å, 90.00 90.00 90.00°
Last column: nearest neighbours and their distance in Å.
Space group P4/mmm (No. 123)
Inequivalent atoms, fractional coordinates:
V  0.0000  0.5000  0.0000 x2  4 Mo 2.59, 4 Ni 2.59
Ni  0.0000  0.0000  0.5000 x1  8 V 2.59
Mo  0.5000  0.5000  0.5000 x1  8 V 2.59

No. 5
# KMg2Tc

KMg2Tc after structural relaxation (PBE, the Alexandria database).

crystal system	tetragonal
excess energy over the best structure of this formula in the dataset	510	meV/atom
volume	22.2	Å³ per atom
energy of formation from the pure elements	0.9676	eV per atom

Cell: 4.3245 4.3245 9.4857 Å, 90.00 90.00 90.00°
Last column: nearest neighbours and their distance in Å.
Space group I-4m2 (No. 119)
Inequivalent atoms, fractional coordinates:
K  0.0000  0.0000  0.0000 x2  8 Mg 3.06-3.21, 4 Tc 3.21
Mg  0.0000  0.0000  0.5000 x2  4 K 3.06, 4 Tc 3.21, 4 Mg 3.21
Mg  0.0000  0.5000  0.7500 x2  4 Tc 3.06, 4 K 3.21, 4 Mg 3.21
Tc  0.0000  0.5000  0.2500 x2  8 Mg 3.06-3.21, 4 K 3.21

No. 6
# MgCd2Te2

MgCd2Te2 after structural relaxation (PBE, the Alexandria database).

crystal system	tetragonal
excess energy over the best structure of this formula in the dataset	0	meV/atom
volume	31.0	Å³ per atom
energy relative to the elements, uncorrected	-0.21	eV per atom

Cell: 8.3431 8.3431 4.4497 Å, 90.00 90.00 90.00°
Last column: nearest neighbours and their distance in Å.
Space group P4/mbm (No. 127)
Inequivalent atoms, fractional coordinates:
Mg  0.0000  0.0000  0.0000 x2  4 Te 2.97
Cd  0.1152  0.3848  0.5000 x4  1 Cd 2.72, 2 Te 2.92
Te  0.2245  0.7245  0.0000 x4  2 Cd 2.92, 2 Mg 2.97